## LaZrMn2 (PBE)

Data for crystalline LaZrMn2 at its relaxed geometry.

Cell: 3.4475 3.4517 7.0422 Å, 90.00 90.10 90.00°
Closest atoms and distances in Å follow each position.
Fractional positions:
1 La 0.0000 0.0000 0.0000  8 Mn 3.24, 4 La 3.45, 2 Zr 3.52
2 Zr 0.0000 0.0000 0.5000  8 Mn 2.81
3 Mn 0.4991 0.5000 0.3028  1 Mn 2.78, 4 Zr 2.81
4 Mn 0.5009 0.5000 0.6972  1 Mn 2.78, 4 Zr 2.81

Space group = P2/m
DFT total energy = -31.2 eV for the cell shown
Fermi-level density of states = 4.75 states/eV/f.u.
Energy of formation = 0.16 eV/atom
ΔE to the lowest computed polymorph = 0.0 meV per atom